[1]
This record from the Open Quantum Materials Database describes a geometry-optimized LiNbAgAu structure. The functional is PBE-GGA.

- electronic total energy (eV/atom) = -4.46
- polymorph energy (0 for the lowest one) (eV per atom) = 0.036

Cell: 4.527 4.527 4.527 Å, 60.00 60.00 60.00°
Positions (direct):
Li (0.000, 0.000, 0.000)
Nb (0.750, 0.750, 0.750)
Ag (0.250, 0.250, 0.250)
Au (0.500, 0.500, 0.500)

=====

[2]
This record from the Open Quantum Materials Database describes a geometry-optimized K3Tl4Pt4 structure. The functional is PBE-GGA.

- electronic total energy (eV/atom) = -3.57

Cell: 7.364 7.364 7.364 Å, 109.47 109.47 109.47°
Positions (direct):
K (0.000, 0.500, 0.500)
K (0.500, 0.000, 0.500)
K (0.500, 0.500, 0.000)
Tl (0.000, 0.000, 0.401)
Tl (0.000, 0.401, 0.000)
Tl (0.401, 0.000, 0.000)
Tl (0.599, 0.599, 0.599)
Pt (0.000, 0.000, 0.764)
Pt (0.000, 0.764, 0.000)
Pt (0.236, 0.236, 0.236)
Pt (0.764, 0.000, 0.000)

=====

[3]
This record from the Open Quantum Materials Database describes a geometry-optimized KAgPdSe2S structure. The functional is PBE-GGA.

- electronic total energy (eV/atom) = -3.69

Cell: 7.360 7.360 10.474 Å, 90.00 90.00 149.17°
Positions (direct):
K (0.240, 0.760, 0.750)
K (0.760, 0.240, 0.250)
Ag (0.058, 0.942, 0.250)
Ag (0.942, 0.058, 0.750)
Pd (0.500, 0.500, 0.000)
Pd (0.500, 0.500, 0.500)
Se (0.117, 0.883, 0.018)
Se (0.117, 0.883, 0.482)
Se (0.883, 0.117, 0.518)
Se (0.883, 0.117, 0.982)
S (0.446, 0.554, 0.250)
S (0.554, 0.446, 0.750)

=====

[4]
This record from the Open Quantum Materials Database describes a geometry-optimized AlZnPO structure. The functional is PBE-GGA.

- electronic total energy (eV/atom) = -4.78
- polymorph energy (0 for the lowest one) (eV per atom) = 0.259

Cell: 3.606 3.606 8.319 Å, 90.00 90.00 90.00°
Positions (direct):
Al (0.250, 0.250, 0.093)
Al (0.750, 0.750, 0.907)
Zn (0.250, 0.750, 0.500)
Zn (0.750, 0.250, 0.500)
P (0.250, 0.250, 0.695)
P (0.750, 0.750, 0.305)
O (0.250, 0.750, 0.000)
O (0.750, 0.250, 0.000)